Entry 1:
# Hf2Cd3Pt (GGA-PBE, optimized geometry)
# * crystal system: tetragonal
# * total magnetic moment: 0.005 μB per atom
# * symmetry: P4mm
# * E_tot: -5.017 eV/atom
data_Hf2Cd3Pt
_space_group_name_H-M_alt 'P 1'
_space_group_IT_number 1
_cell_length_a 3.397
_cell_length_b 3.397
_cell_length_c 10.382
_cell_angle_alpha 90.00
_cell_angle_beta 90.00
_cell_angle_gamma 90.00
loop_
_space_group_symop_operation_xyz
'x,y,z'
loop_
_atom_site_label
_atom_site_type_symbol
_atom_site_fract_x
_atom_site_fract_y
_atom_site_fract_z
Hf1 Hf 0.000 0.000 0.000
Hf2 Hf 0.500 0.500 0.456
Cd1 Cd 0.000 0.000 0.288
Cd2 Cd 0.000 0.000 0.641
Cd3 Cd 0.500 0.500 0.810
Pt1 Pt 0.500 0.500 0.126

=====

Entry 2:
# HfCdPt (GGA-PBE, optimized geometry)
# * crystal system: cubic
# * total magnetic moment: 0.001 μB per atom
# * symmetry: F-43m
# * E_tot: -5.714 eV/atom
data_HfCdPt
_space_group_name_H-M_alt 'P 1'
_space_group_IT_number 1
_cell_length_a 4.554
_cell_length_b 4.554
_cell_length_c 4.554
_cell_angle_alpha 60.00
_cell_angle_beta 60.00
_cell_angle_gamma 60.00
loop_
_space_group_symop_operation_xyz
'x,y,z'
loop_
_atom_site_label
_atom_site_type_symbol
_atom_site_fract_x
_atom_site_fract_y
_atom_site_fract_z
Hf1 Hf 0.000 0.000 0.000
Cd1 Cd 0.750 0.750 0.750
Pt1 Pt 0.250 0.250 0.250